LaNd6Sm3Ho2, relaxed, DFT PBE; volume = 413 Å³/cell; space group = C2/m; formation energy from the elements = 0.017 eV per atom
1.0
-3.446 -3.027 -4.358
1.496 -2.898 5.422
-9.317 6.158 4.627
Ho Sm Nd La
2 3 6 1
direct
0.667 0.333 0.000
0.333 0.667 0.000
0.833 0.167 0.500
0.500 0.500 0.500
0.167 0.833 0.500
0.418 0.084 0.250
0.582 0.916 0.750
0.251 0.251 0.750
0.084 0.418 0.250
0.916 0.582 0.750
0.749 0.749 0.250
0.000 0.000 0.000


LiDyFe4, relaxed, DFT PBE; volume = 87 Å³/cell; space group = F-43m; formation energy from the elements = 0.079 eV per atom
1.0
-3.147 -3.537 -1.510
-0.541 -4.152 2.677
-4.215 -0.810 2.505
Fe Dy Li
4 1 1
direct
0.625 0.625 0.625
0.625 0.625 0.126
0.126 0.625 0.625
0.625 0.126 0.625
0.000 0.000 0.000
0.250 0.250 0.250


In6SnHg9, relaxed, DFT PBE; volume = 428 Å³/cell; space group = P-1; formation energy from the elements = 0.017 eV per atom
1.0
-6.131 0.363 -5.622
-2.000 -7.901 1.723
0.167 5.668 6.348
Hg In Sn
9 6 1
direct
0.012 0.805 0.338
0.811 0.328 0.324
0.480 0.963 0.657
0.988 0.195 0.662
0.305 0.494 0.323
0.695 0.506 0.677
0.500 0.500 0.000
0.189 0.672 0.676
0.520 0.037 0.343
0.344 0.135 0.980
0.743 0.760 0.495
0.162 0.662 0.029
0.838 0.338 0.971
0.257 0.240 0.505
0.656 0.865 0.020
0.000 0.000 0.000